SrNiMoP2: optimized geometry, PBE.

Unit cell a=3.9457 b=3.9457 c=12.0479 alpha=90.00 beta=90.00 gamma=90.00
Element x y z (fractional)
Sr (0.0000, 0.0000, 0.0000)
Sr (0.5000, 0.5000, 0.5000)
Ni (0.0000, 0.5000, 0.2500)
Ni (0.5000, 0.0000, 0.7500)
Mo (0.0000, 0.5000, 0.7500)
Mo (0.5000, 0.0000, 0.2500)
P (0.0000, 0.0000, 0.3557)
P (0.0000, 0.0000, 0.6443)
P (0.5000, 0.5000, 0.1443)
P (0.5000, 0.5000, 0.8557)

As for the density of states at the Fermi level: 2.4 states/eV/f.u. The value obtained for the formation energy from the elements is -74.1 kJ/mol of atoms. The calculation puts the magnetization at 0.0 μB/f.u.

---

ThNi2MoP2: optimized geometry, PBE.

Unit cell a=3.8214 b=3.8214 c=7.3642 alpha=90.00 beta=90.00 gamma=120.00
Element x y z (fractional)
Th (0.0000, 0.0000, 0.0000)
Ni (0.3333, 0.6667, 0.7141)
Ni (0.6667, 0.3333, 0.2859)
Mo (0.0000, 0.0000, 0.5000)
P (0.3333, 0.6667, 0.2850)
P (0.6667, 0.3333, 0.7150)

As for the density of states at the Fermi level: 3.8 states/eV/f.u. The value obtained for the formation energy from the elements is -71.5 kJ/mol of atoms. The calculation puts the magnetization at 0.4 μB/f.u.